Entry 1:
VASP calculation (PBE-GGA) on crystalline MgTl6Pb at its relaxed geometry.

## Properties
* SG: P4/mmm
* density: 10.30 g cm⁻³
* E_form: 16.9 meV/atom
* M_tot: 0.0 μB per formula unit
* Fermi-level density of states: 3.1 states/eV per cell

abc: 7.3095 7.3095 4.3998
angles: 90.00 90.00 90.00
Positions (direct):
Mg: 0.0000 0.0000 0.0000
Tl: 0.0000 0.5000 0.0000
Tl: 0.2426 0.2426 0.5000
Tl: 0.2426 0.7574 0.5000
Tl: 0.5000 0.0000 0.0000
Tl: 0.7574 0.2426 0.5000
Tl: 0.7574 0.7574 0.5000
Pb: 0.5000 0.5000 0.0000

***

Entry 2:
VASP calculation (PBE-GGA) on crystalline MgTlPb4 at its relaxed geometry.

## Properties
* SG: C2/m
* density: 8.90 g cm⁻³
* E_form: 92.8 meV/atom
* M_tot: 0.0 μB per formula unit
* Fermi-level density of states: 3.0 states/eV per cell

abc: 5.0851 5.0851 9.2403
angles: 105.85 105.85 60.47
Positions (direct):
Mg: 0.0000 0.0000 0.0000
Tl: 0.5000 0.5000 0.5000
Pb: 0.1172 0.1172 0.3543
Pb: 0.3746 0.3746 0.1215
Pb: 0.6254 0.6254 0.8785
Pb: 0.8828 0.8828 0.6457

***

Entry 3:
VASP calculation (PBE-GGA) on crystalline TmMgTl2Pb at its relaxed geometry.

## Properties
* SG: I4mm
* density: 9.19 g cm⁻³
* E_form: 95.7 meV/atom
* M_tot: 0.0 μB per formula unit
* Fermi-level density of states: 3.6 states/eV per cell

abc: 8.5288 8.5288 8.5288
angles: 150.92 150.92 41.59
Positions (direct):
Tm: 0.0000 0.0000 0.0000
Mg: 0.8021 0.8021 0.0000
Tl: 0.1549 0.6549 0.5000
Tl: 0.6549 0.1549 0.5000
Pb: 0.4066 0.4066 0.0000

***

Entry 4:
VASP calculation (PBE-GGA) on crystalline Y2Mg5Tl3Pb2 at its relaxed geometry.

## Properties
* SG: I4/mmm
* density: 6.30 g cm⁻³
* E_form: -53.8 meV/atom
* M_tot: 0.0 μB per formula unit
* Fermi-level density of states: 8.5 states/eV per cell

abc: 18.2047 18.2047 18.2047
angles: 166.06 166.06 19.76
Positions (direct):
Y: 0.2153 0.2153 0.0000
Y: 0.7847 0.7847 0.0000
Mg: 0.0000 0.0000 0.0000
Mg: 0.1397 0.6397 0.5000
Mg: 0.3603 0.8603 0.5000
Mg: 0.6397 0.1397 0.5000
Mg: 0.8603 0.3603 0.5000
Tl: 0.3029 0.3029 0.0000
Tl: 0.5000 0.5000 0.0000
Tl: 0.6971 0.6971 0.0000
Pb: 0.0809 0.0809 0.0000
Pb: 0.9191 0.9191 0.0000

***

Entry 5:
VASP calculation (PBE-GGA) on crystalline TmMg5Pb6 at its relaxed geometry.

## Properties
* SG: Cmmm
* density: 8.02 g cm⁻³
* E_form: -107.1 meV/atom
* M_tot: 0.0 μB per formula unit
* Fermi-level density of states: 5.0 states/eV per cell

abc: 8.6081 8.6081 7.1699
angles: 90.00 90.00 143.28
Positions (direct):
Tm: 0.0000 0.0000 0.0000
Mg: 0.0000 0.0000 0.5000
Mg: 0.3293 0.6707 0.5000
Mg: 0.3377 0.6623 0.0000
Mg: 0.6623 0.3377 0.0000
Mg: 0.6707 0.3293 0.5000
Pb: 0.1694 0.8306 0.2499
Pb: 0.1694 0.8306 0.7501
Pb: 0.5000 0.5000 0.2586
Pb: 0.5000 0.5000 0.7414
Pb: 0.8306 0.1694 0.2499
Pb: 0.8306 0.1694 0.7501

***

Entry 6:
VASP calculation (PBE-GGA) on crystalline TmMg4Pb5 at its relaxed geometry.

## Properties
* SG: P4/mmm
* density: 8.17 g cm⁻³
* E_form: -101.0 meV/atom
* M_tot: 0.0 μB per formula unit
* Fermi-level density of states: 3.9 states/eV per cell

abc: 3.8168 3.8168 18.1593
angles: 90.00 90.00 90.00
Positions (direct):
Tm: 0.0000 0.0000 0.0000
Mg: 0.0000 0.0000 0.2032
Mg: 0.0000 0.0000 0.4007
Mg: 0.0000 0.0000 0.5993
Mg: 0.0000 0.0000 0.7968
Pb: 0.5000 0.5000 0.1072
Pb: 0.5000 0.5000 0.3023
Pb: 0.5000 0.5000 0.5000
Pb: 0.5000 0.5000 0.6977
Pb: 0.5000 0.5000 0.8928

***

Entry 7:
VASP calculation (PBE-GGA) on crystalline Tm8MgPb5 at its relaxed geometry.

## Properties
* SG: I-4
* density: 9.99 g cm⁻³
* E_form: -342.1 meV/atom
* M_tot: 0.0 μB per formula unit
* Fermi-level density of states: 9.6 states/eV per cell

abc: 8.0465 8.0465 8.0465
angles: 109.45 109.45 109.51
Positions (direct):
Tm: 0.1258 0.2303 0.7577
Tm: 0.1345 0.7393 0.7580
Tm: 0.2607 0.0188 0.3952
Tm: 0.4726 0.3681 0.2423
Tm: 0.6235 0.8655 0.6048
Tm: 0.6319 0.8742 0.1046
Tm: 0.7697 0.5274 0.8954
Tm: 0.9812 0.3765 0.2420
Mg: 0.7500 0.2500 0.5000
Pb: 0.0000 0.0000 0.0000
Pb: 0.2533 0.6326 0.1250
Pb: 0.3674 0.4924 0.6207
Pb: 0.5076 0.1283 0.8750
Pb: 0.8717 0.7467 0.3793

***

Entry 8:
VASP calculation (PBE-GGA) on crystalline TmMg2Pb at its relaxed geometry.

## Properties
* SG: P4/mmm
* density: 6.70 g cm⁻³
* E_form: -86.8 meV/atom
* M_tot: 0.0 μB per formula unit
* Fermi-level density of states: 2.0 states/eV per cell

abc: 3.5204 3.5204 8.4934
angles: 90.00 90.00 90.00
Positions (direct):
Tm: 0.0000 0.0000 0.0000
Mg: 0.5000 0.5000 0.2587
Mg: 0.5000 0.5000 0.7413
Pb: 0.0000 0.0000 0.5000

***

Entry 9:
VASP calculation (PBE-GGA) on crystalline TmMgPb at its relaxed geometry.

## Properties
* SG: F-43m
* density: 7.59 g cm⁻³
* E_form: -103.7 meV/atom
* M_tot: 0.0 μB per formula unit
* Fermi-level density of states: 1.8 states/eV per cell

abc: 4.9850 4.9850 4.9850
angles: 60.00 60.00 60.00
Positions (direct):
Tm: 0.0000 0.0000 0.0000
Mg: 0.5000 0.5000 0.5000
Pb: 0.7500 0.7500 0.7500

***

Entry 10:
VASP calculation (PBE-GGA) on crystalline Tm6Mg5Pb at its relaxed geometry.

## Properties
* SG: Cmmm
* density: 7.06 g cm⁻³
* E_form: -140.1 meV/atom
* M_tot: 0.0 μB per formula unit
* Fermi-level density of states: 11.5 states/eV per cell

abc: 8.4273 8.4273 7.4353
angles: 90.00 90.00 143.26
Positions (direct):
Tm: 0.0000 0.0000 0.2470
Tm: 0.0000 0.0000 0.7530
Tm: 0.3314 0.6686 0.2455
Tm: 0.3314 0.6686 0.7545
Tm: 0.6686 0.3314 0.2455
Tm: 0.6686 0.3314 0.7545
Mg: 0.1652 0.8348 0.0000
Mg: 0.1720 0.8280 0.5000
Mg: 0.5000 0.5000 0.0000
Mg: 0.8280 0.1720 0.5000
Mg: 0.8348 0.1652 0.0000
Pb: 0.5000 0.5000 0.5000

***

Entry 11:
VASP calculation (PBE-GGA) on crystalline Tm3MgPb4 at its relaxed geometry.

## Properties
* SG: Pmn2_1
* density: 10.27 g cm⁻³
* E_form: -260.6 meV/atom
* M_tot: 0.0 μB per formula unit
* Fermi-level density of states: 11.3 states/eV per cell

abc: 10.2022 6.6784 6.4526
angles: 90.00 90.00 90.00
Positions (direct):
Tm: 0.0000 0.0132 0.0000
Tm: 0.2490 0.7211 0.7575
Tm: 0.2510 0.2789 0.2575
Tm: 0.5000 0.9868 0.5000
Tm: 0.7490 0.2789 0.2575
Tm: 0.7510 0.7211 0.7575
Mg: 0.0000 0.5104 0.0192
Mg: 0.5000 0.4896 0.5192
Pb: 0.0000 0.9998 0.5030
Pb: 0.0000 0.4962 0.5177
Pb: 0.2458 0.7776 0.2553
Pb: 0.2542 0.2224 0.7553
Pb: 0.5000 0.0002 0.0030
Pb: 0.5000 0.5038 0.0177
Pb: 0.7458 0.2224 0.7553
Pb: 0.7542 0.7776 0.2553

***

Entry 12:
VASP calculation (PBE-GGA) on crystalline Tm2MgPb5 at its relaxed geometry.

## Properties
* SG: I4/mmm
* density: 10.35 g cm⁻³
* E_form: -203.6 meV/atom
* M_tot: 0.0 μB per formula unit
* Fermi-level density of states: 5.4 states/eV per cell

abc: 6.6360 6.6360 6.6360
angles: 107.70 107.70 113.08
Positions (direct):
Tm: 0.0000 0.5000 0.5000
Tm: 0.5000 0.0000 0.5000
Mg: 0.0000 0.0000 0.0000
Pb: 0.0000 0.0000 0.5000
Pb: 0.0000 0.5000 0.0000
Pb: 0.5000 0.0000 0.0000
Pb: 0.5000 0.5000 0.0000
Pb: 0.5000 0.5000 0.5000